(1)
Entry from Alexandria: crystalline La3PaO at its relaxed geometry (PBE-GGA).

a b c (Å): 5.062 5.062 5.062
angles (deg): 90.00 90.00 90.00
Atoms (fractional coordinates):
La (0.000, 0.000, 0.500)
La (0.000, 0.500, 0.000)
La (0.500, 0.000, 0.000)
Pa (0.500, 0.500, 0.500)
O (0.000, 0.000, 0.000)

Output
Volume   129.7 Å³ per cell
Total magnetic moment   0.00 μB/f.u.
DOS at the Fermi energy   7.677 states/eV/f.u.
Uncorrected energy   -6.77 eV/atom
E_form (uncorrected)   -923 meV/atom

(2)
Entry from Alexandria: crystalline Li2LaIn at its relaxed geometry (PBE-GGA).

a b c (Å): 3.587 5.415 5.517
angles (deg): 90.00 90.00 90.00
Atoms (fractional coordinates):
Li (0.000, 0.000, 0.000)
Li (0.500, 0.000, 0.500)
La (0.000, 0.500, 0.500)
In (0.500, 0.500, 0.000)

Output
Formation energy   -0.103 eV/atom
Volume   107.2 Å³ per cell
Total magnetic moment   0.00 μB/f.u.
DOS at the Fermi energy   3.144 states/eV/f.u.
Uncorrected energy   -2.98 eV/atom

(3)
Entry from Alexandria: crystalline FePbI4 at its relaxed geometry (PBE-GGA).

a b c (Å): 7.939 7.939 7.939
angles (deg): 128.33 128.33 76.08
Atoms (fractional coordinates):
Fe (0.000, 0.000, 0.000)
Pb (0.250, 0.750, 0.500)
I (0.087, 0.642, 0.959)
I (0.358, 0.318, 0.445)
I (0.682, 0.127, 0.041)
I (0.873, 0.913, 0.555)

Output
Volume   299.3 Å³ per cell
Total magnetic moment   4.00 μB/f.u.
DOS at the Fermi energy   6.075 states/eV/f.u.
Uncorrected energy   -3.37 eV/atom
E_form (uncorrected)   -304 meV/atom